Entry 1:
This record from Alexandria via LeMat-Bulk describes crystalline GeAsI3 at its relaxed geometry. The functional is PBE.

abc: 5.6974 5.6974 5.6974
angles: 90.00 90.00 90.00
Each line ends with the local moment (μB).
Fractional coordinates of all 5 atoms:
I (0.0000, 0.0000, 0.5000)  -0.02
I (0.0000, 0.5000, 0.0000)  -0.01
As (0.0000, 0.0000, 0.0000)  -0.02
I (0.5000, 0.0000, 0.0000)  -0.01
Ge (0.5000, 0.5000, 0.5000)  0.42

Results
Formation energy without anion corrections in meV/atom: 432
Space-group type: Pm-3m (221)
Mass density in g/cm3: 4.74
Energy above the most stable polymorph in this dataset in kJ/mol of atoms: 0.0


Entry 2:
This record from Alexandria via LeMat-Bulk describes crystalline PrSm2Ho at its relaxed geometry. The functional is PBE.

abc: 5.1383 5.1381 6.2625
angles: 114.22 114.22 90.00
Fractional coordinates of all 4 atoms:
Sm (0.7501, 0.2501, 0.5003)
Pr (0.2498, 0.7498, 0.4997)
Sm (0.0001, 0.0001, 0.0001)
Ho (0.5000, 0.5000, 0.9999)

Results
Space-group type: I-4m2 (119)
Mass density in g/cm3: 7.48
Formation energy in meV per atom: 17
Energy above the most stable polymorph in this dataset in kJ/mol of atoms: 0.0


Asked for total moment across the records above, the calculation gives 0.94, 0.00 μB/f.u. in order.